a.
The following is a DFT calculation (PBE) of HoThGa4 after structural relaxation.

a = 4.2127 Å, b = 4.2127 Å, c = 7.9348 Å
α = 105.39°, β = 105.39°, γ = 90.00°
Closest atoms and distances in Å follow each position.
Sites, in units of the cell vectors:
Ho1 0.0000 0.0000 0.0000  12 Ga 3.21-3.23
Ga1 0.5817 0.5817 0.1634  3 Ga 2.40-2.45
Ga2 0.8339 0.3339 0.6678  3 Ga 2.45-2.47
Ga3 0.4183 0.4183 0.8366  3 Ga 2.40-2.45
Ga4 0.6661 0.1661 0.3322  3 Ga 2.45-2.47
Th1 0.2500 0.7500 0.5000  12 Ga 3.22-3.25

Density   8.60 g cm⁻³
Space group   I-4m2
D(E_F)   1.75 states/eV per cell

b.
The following is a DFT calculation (PBE) of HoThGa4 after structural relaxation.

a = 5.5966 Å, b = 5.5966 Å, c = 5.5966 Å
α = 60.00°, β = 60.00°, γ = 60.00°
Closest atoms and distances in Å follow each position.
Sites, in units of the cell vectors:
Ga1 0.6251 0.6251 0.6251  6 Ga 2.80
Ga2 0.6251 0.6251 0.1247  6 Ga 2.80
Ga3 0.6251 0.1247 0.6251  6 Ga 2.80
Th1 0.0000 0.0000 0.0000  12 Ga 3.28, 4 Ho 3.43
Ga4 0.1247 0.6251 0.6251  6 Ga 2.80
Ho1 0.2500 0.2500 0.2500  12 Ga 3.28, 4 Th 3.43

Density   9.05 g cm⁻³
Space group   F-43m
D(E_F)   4.21 states/eV per cell

Stability comparison, relative energies in meV/atom: a 0; b 152

a.
The following is a DFT calculation (PBE) of Ho2ThGa after structural relaxation.

a = 3.5167 Å, b = 3.5167 Å, c = 8.7127 Å
α = 90.00°, β = 90.00°, γ = 90.00°
Closest atoms and distances in Å follow each position.
Sites, in units of the cell vectors:
Ga1 0.5000 0.5000 0.0000  8 Ho 3.11
Ho1 0.0000 0.0000 0.2135  4 Ga 3.11
Th1 0.5000 0.5000 0.5000  4 Th 3.52, 8 Ho 3.52
Ho2 0.0000 0.0000 0.7865  4 Ga 3.11

Density   9.73 g cm⁻³
Space group   P4/mmm
D(E_F)   3.81 states/eV per cell

b.
The following is a DFT calculation (PBE) of Ho2ThGa after structural relaxation.

a = 4.7238 Å, b = 4.7656 Å, c = 4.7656 Å
α = 90.00°, β = 90.00°, γ = 90.00°
Closest atoms and distances in Å follow each position.
Sites, in units of the cell vectors:
Ho1 0.0000 0.5000 0.0000  4 Th 3.36, 4 Ga 3.36, 4 Ho 3.37
Ga1 0.5000 0.0000 0.0000  8 Ho 3.36, 4 Th 3.37
Ho2 0.0000 0.0000 0.5000  4 Th 3.36, 4 Ga 3.36, 4 Ho 3.37
Th1 0.5000 0.5000 0.5000  8 Ho 3.36, 4 Ga 3.37

Density   9.78 g cm⁻³
Space group   P4/mmm
D(E_F)   5.62 states/eV per cell

Stability comparison, relative energies in meV/atom: a 0; b 92